A plane-wave DFT calculation with GGA-PBE was carried out for TlTe2PdI after structural relaxation.

Cell: 5.7791 5.7791 6.0891 Å, 90.00 90.00 90.00°
Last column: nearest neighbours and their distance in Å.
Element x y z (fractional)
Tl 0.0000 0.0000 0.0000  4 Te 2.89, 2 I 3.04
Te 0.0000 0.5000 0.0000  2 Tl 2.89
Te 0.5000 0.0000 0.0000  2 Tl 2.89
Pd 0.5000 0.5000 0.5000  4 I 4.09, 8 Te 4.20
I 0.0000 0.0000 0.5000  2 Tl 3.04

Energy relative to the elements, uncorrected (eV per atom): 0.85
Space group: No. 123
M_tot (μB/f.u.): 1.835
DFT total energy (eV per atom): -2.231